Density functional theory data (PBE-GGA) for BeAu2Se after structural relaxation.

Calculated values
- V: 69.0 Å³/cell
- E above lowest polymorph: 88 meV/atom
- Space group: P4/mmm
- Uncorrected formation energy: 0.051 eV per atom

abc: 2.8191 2.8191 8.6759
angles: 90.00 90.00 90.00
Closest atoms and distances in Å follow each position.
Sites, in units of the cell vectors:
1 Be 0.0000 0.0000 0.0000  8 Au 2.53, 4 Be 2.82
2 Au 0.5000 0.5000 0.1800  4 Be 2.53, 4 Au 2.82
3 Au 0.5000 0.5000 0.8200  4 Be 2.53, 4 Au 2.82
4 Se 0.0000 0.0000 0.5000  4 Se 2.82